Ce4Tl3Sn | PBE | optimized geometry

Cell and atoms, written as POSCAR:
```
Ce4Tl3Sn
1.0
-2.4777 2.4777 9.2259
2.4777 -2.4777 9.2259
2.4777 2.4777 -9.2259
Ce Tl Sn
4 3 1
Direct
0.1238 0.6238 0.5000
0.3762 0.8762 0.5000
0.6238 0.1238 0.5000
0.8762 0.3762 0.5000
0.0000 0.0000 0.0000
0.2500 0.2500 0.0000
0.7500 0.7500 0.0000
0.5000 0.5000 0.0000
```

Output
E above lowest polymorph ... 0.0 meV/atom
Density ... 9.5 g/cm³



Ce2TlSn9 | PBE | optimized geometry

Cell and atoms, written as POSCAR:
```
Ce2TlSn9
1.0
4.7136 0.0000 0.0000
0.0000 4.7136 0.0000
0.0000 0.0000 14.6841
Ce Tl Sn
2 1 9
Direct
0.0000 0.0000 0.1551
0.0000 0.0000 0.8449
0.0000 0.0000 0.5000
0.0000 0.5000 0.0000
0.0000 0.5000 0.3273
0.0000 0.5000 0.6727
0.5000 0.0000 0.0000
0.5000 0.0000 0.3273
0.5000 0.0000 0.6727
0.5000 0.5000 0.1636
0.5000 0.5000 0.5000
0.5000 0.5000 0.8364
```

Output
Density ... 7.9 g/cm³
Total DFT energy (no corrections) ... -53.99 eV per formula unit



What size of the total moment values result from the calculations? In sequence: 4.97 1.28 μB per formula unit.